(1)
DFT (PBE) results for a relaxed structure of GeSbPb2.

Geometry as POSCAR:
```
GeSbPb2
1.0
-1.2675 -2.5640 -2.4361
-1.9970 -1.6170 2.7410
-6.0806 4.6236 -1.7026
Pb Ge Sb
2 1 1
Cartesian
-4.6657 3.5477 -1.3064 Pb
-1.4150 1.0759 -0.3962 Pb
-1.6323 -2.0905 0.1524 Ge
-4.6726 0.2213 -0.6989 Sb
```

Output
Spin magnetization in Bohr magnetons per cell: 0.0
N(E_F) in states/eV per cell: 2.35
Energy relative to the elements, uncorrected in meV per atom: 193.0
Space group: P4/mmm (123)

***

(2)
DFT (PBE) results for a relaxed structure of Ac3Pr2NdAs6.

Geometry as POSCAR:
```
Ac3Pr2NdAs6
1.0
-2.5436 3.3731 -1.3139
-6.6953 -3.1544 4.8634
5.8965 4.1783 6.7604
As Ac Pr Nd
6 3 2 1
Cartesian
-1.7457 5.1304 9.1018 As
-1.5967 -0.7335 1.2082 As
-0.3580 3.3224 1.7736 As
0.2239 2.5434 6.0962 As
-2.9844 1.0746 8.5363 As
-3.5663 1.8536 4.2138 As
-4.0376 -0.6734 6.0878 Ac
0.6952 5.0704 4.2222 Ac
-4.6195 0.1093 1.7748 Ac
-0.6889 0.9028 3.6512 Pr
-2.6535 3.4942 6.6587 Pr
-1.2718 1.6865 -0.6569 Nd
```

Output
Spin magnetization in Bohr magnetons per cell: 0.0
N(E_F) in states/eV per cell: 1.33
Space group: C2/m (12)
Energy of formation from the pure elements in eV/atom: -1.479

***

(3)
DFT (PBE) results for a relaxed structure of Zn2H2N.

Geometry as POSCAR:
```
Zn2H2N
1.0
-4.9761 -1.8068 0.0822
1.8053 -4.9764 -0.0971
0.0648 -0.0371 3.1048
Zn N H
4 2 4
Cartesian
-0.8401 -1.6770 1.5508 Zn
0.1796 -4.1227 1.5003 Zn
-3.2857 -2.6976 1.5896 Zn
-2.2659 -5.1432 1.5391 Zn
0.0000 0.0000 0.0000 N
-1.5854 -3.3916 -0.0074 N
0.5470 -2.3220 -0.0391 H
-3.7178 -4.4612 0.0243 H
-2.6543 -1.2591 0.0403 H
-0.5165 -5.5241 -0.0552 H
```

Output
Spin magnetization in Bohr magnetons per cell: 0.0
N(E_F) in states/eV per cell: 1.72
Space group: P4/mbm (127)
Uncorrected energy in eV/atom: -2.832

***

(4)
DFT (PBE) results for a relaxed structure of CsPH.

Geometry as POSCAR:
```
CsPH
1.0
-3.7460 -1.6645 -3.8191
-1.9094 -5.6567 0.4391
-4.7840 0.9550 4.1712
P H Cs
2 2 2
Cartesian
-3.5360 -4.0878 -1.9221 P
-6.5293 -3.8398 1.1798 P
-6.2979 -2.8220 0.1611 H
-3.0140 -3.1722 -0.9074 H
-5.2654 -0.9103 2.6566 Cs
-6.6377 -6.1268 -1.8034 Cs
```

Output
Spin magnetization in Bohr magnetons per cell: 0.0
N(E_F) in states/eV per cell: 0.00
Space group: P1 (1)
Uncorrected energy in eV/atom: -3.537

***

(5)
DFT (PBE) results for a relaxed structure of Pr3Dy2Tm.

Geometry as POSCAR:
```
Pr3Dy2Tm
1.0
-3.4606 -6.0304 -2.1530
4.6034 -1.1489 -4.1815
4.5212 -1.2450 8.5231
Pr Dy Tm
6 4 2
Cartesian
-1.8636 -5.5401 -2.9207 Pr
1.4822 -0.6927 2.6558 Pr
2.9125 -2.7856 0.0229 Pr
4.1818 -7.7315 -0.4672 Pr
3.0064 -1.6391 -3.4137 Pr
2.7515 -5.6386 2.1657 Pr
4.4626 -2.6532 3.2798 Dy
-0.2504 -3.7156 1.5283 Dy
1.2014 -5.7710 -1.0912 Dy
5.9145 -4.7086 0.6604 Dy
1.3042 -4.6053 -4.4727 Tm
-0.1614 -2.5739 -1.8618 Tm
```

Output
Spin magnetization in Bohr magnetons per cell: 0.0
N(E_F) in states/eV per cell: 15.44
Space group: C2/c (15)
Energy of formation from the pure elements in eV/atom: 0.014

***

(6)
DFT (PBE) results for a relaxed structure of Ba2NiSb3Pt4.

Geometry as POSCAR:
```
Ba2NiSb3Pt4
1.0
-1.7762 -2.7203 -3.4122
4.3405 -0.7211 -1.6845
1.0133 -8.5020 6.2507
Ni Sb Ba Pt
1 3 2 4
Cartesian
1.7888 -5.9717 0.5770 Ni
2.3006 -1.4544 -0.0381 Sb
0.5067 -4.2510 3.1253 Sb
-0.0051 -8.7684 3.7404 Sb
-0.6274 -3.5474 -0.0980 Ba
2.9229 -6.6753 3.8003 Ba
1.2822 -1.7207 -2.5483 Pt
0.0000 0.0000 0.0000 Pt
-0.2648 -6.5894 2.1385 Pt
2.5603 -3.6333 1.5638 Pt
```

Output
Spin magnetization in Bohr magnetons per cell: 0.6
N(E_F) in states/eV per cell: 8.79
Energy relative to the elements, uncorrected in meV per atom: -664.9
Space group: P-4m2 (115)

***

(7)
DFT (PBE) results for a relaxed structure of Nd4Cd3Hg2.

Geometry as POSCAR:
```
Nd4Cd3Hg2
1.0
2.6499 4.5855 -0.1576
-2.6499 4.5855 -0.1576
0.0000 0.3611 10.2719
Nd Cd Hg
4 3 2
Cartesian
0.0000 6.1573 1.0254 Nd
0.0000 9.2908 3.1064 Nd
0.0000 3.3748 8.9313 Nd
0.0000 0.2413 6.8504 Nd
0.0000 6.2896 4.8039 Cd
0.0000 3.2426 5.1528 Cd
0.0000 0.0000 0.0000 Cd
0.0000 6.4063 8.0782 Hg
0.0000 3.1258 1.8785 Hg
```

Output
Spin magnetization in Bohr magnetons per cell: 0.0
N(E_F) in states/eV per cell: 9.92
Space group: P-3m1 (164)
Energy of formation from the pure elements in eV/atom: -0.337

***

(8)
DFT (PBE) results for a relaxed structure of RbCd2In4.

Geometry as POSCAR:
```
RbCd2In4
1.0
5.0448 0.0000 0.0000
0.0000 5.0510 0.0000
0.0000 -2.5255 8.3545
In Rb Cd
4 1 2
Cartesian
0.0000 2.5255 3.1776 In
0.0000 0.0000 5.1770 In
2.5224 2.5255 5.2579 In
2.5224 0.0000 3.0966 In
0.0000 0.0000 0.0000 Rb
2.5224 0.0000 6.9172 Cd
2.5224 2.5255 1.4373 Cd
```

Output
Spin magnetization in Bohr magnetons per cell: 0.0
N(E_F) in states/eV per cell: 2.54
Space group: Cmmm (65)
Energy of formation from the pure elements in eV/atom: -0.072

***

(9)
DFT (PBE) results for a relaxed structure of Ba5In2Br2.

Geometry as POSCAR:
```
Ba5In2Br2
1.0
-4.7779 6.6540 -4.5820
1.1439 -4.7458 -8.0847
-9.8019 -0.9779 -0.8128
Ba In Br
10 4 4
Cartesian
0.0000 0.0000 0.0000 Ba
-4.1961 -0.7005 -9.4576 Ba
-7.8705 -1.8527 -7.2994 Ba
-1.8170 0.9541 -6.3334 Ba
-11.4213 4.0967 -7.7797 Ba
-2.0146 -3.1664 -5.6998 Ba
-5.5655 2.7831 -6.1801 Ba
-9.2399 1.6308 -4.0218 Ba
-10.0519 0.6132 -11.0573 Ba
-3.3840 0.3171 -2.4222 Ba
-3.4706 2.8650 -9.0606 In
-0.7941 -1.6549 -8.8017 In
-0.1635 -0.9568 -3.6061 In
-2.8399 3.5631 -3.8650 In
-4.7973 -0.7767 -5.7390 Br
-8.6386 1.7070 -7.7404 Br
-6.8216 0.7529 -1.4071 Br
-7.7582 4.9233 -3.9877 Br
```

Output
Spin magnetization in Bohr magnetons per cell: 0.0
N(E_F) in states/eV per cell: 6.14
Energy relative to the elements, uncorrected in meV per atom: -911.0
Space group: Cmce (64)

***

(10)
DFT (PBE) results for a relaxed structure of AcCdHg4.

Geometry as POSCAR:
```
AcCdHg4
1.0
4.9157 0.0000 -1.5997
0.0000 7.3271 0.0000
-3.4118 0.0000 10.1722
Cd Hg Ac
2 8 2
Cartesian
2.4579 0.0000 -0.7998 Cd
2.4579 3.6635 -0.7998 Cd
2.4083 1.8318 5.3192 Hg
1.4235 3.7581 2.0663 Hg
-0.9043 5.4953 3.2533 Hg
0.0804 0.0946 6.5062 Hg
0.0804 3.5689 6.5062 Hg
1.4235 7.2325 2.0663 Hg
1.5326 5.4953 8.3951 Hg
-0.0286 1.8318 0.1774 Hg
-0.7648 1.8318 3.7643 Ac
2.2687 5.4953 4.8082 Ac
```

Output
Spin magnetization in Bohr magnetons per cell: 0.0
N(E_F) in states/eV per cell: 6.13
Space group: P2_1/m (11)
Energy of formation from the pure elements in eV/atom: -0.270

***

(11)
DFT (PBE) results for a relaxed structure of SrPmNp2O8.

Geometry as POSCAR:
```
SrPmNp2O8
1.0
-1.0547 1.7734 -5.0867
3.9115 -3.3118 -1.9656
-5.0159 -3.1072 2.9185
O Np Sr Pm
8 2 1 1
Cartesian
-3.4737 -2.4659 1.1670 O
1.1390 -1.9987 -5.4106 O
-1.9360 -3.3795 -2.0833 O
-0.0462 -1.4458 -1.9406 O
-1.4721 -4.1619 0.1604 O
-3.9389 -1.6849 -1.0769 O
-0.5869 -0.5384 -4.5445 O
1.6785 -2.9074 -2.8068 O
0.1620 -3.5941 -1.2866 Np
1.4284 -0.7692 -3.5262 Np
-2.3211 -1.0515 -2.8472 Sr
0.0000 0.0000 0.0000 Pm
```

Output
Spin magnetization in Bohr magnetons per cell: 3.0
N(E_F) in states/eV per cell: 12.28
Energy relative to the elements, uncorrected in meV per atom: -2981.4
Space group: I-4m2 (119)

***

(12)
DFT (PBE) results for a relaxed structure of Tm2ZrSc9.

Geometry as POSCAR:
```
Tm2ZrSc9
1.0
4.6466 0.0000 0.0000
0.0000 4.6466 0.0000
0.0000 0.0000 13.9615
Sc Tm Zr
9 2 1
Cartesian
0.0000 2.3233 6.9807 Sc
2.3233 0.0000 11.7611 Sc
0.0000 2.3233 11.7611 Sc
0.0000 2.3233 2.2003 Sc
2.3233 0.0000 2.2003 Sc
2.3233 0.0000 6.9807 Sc
2.3233 2.3233 4.6221 Sc
2.3233 2.3233 0.0000 Sc
2.3233 2.3233 9.3394 Sc
0.0000 0.0000 4.6323 Tm
0.0000 0.0000 9.3291 Tm
0.0000 0.0000 0.0000 Zr
```

Output
Spin magnetization in Bohr magnetons per cell: 0.0
N(E_F) in states/eV per cell: 20.84
Space group: P4/mmm (123)
Energy of formation from the pure elements in eV/atom: 0.043

***

(13)
DFT (PBE) results for a relaxed structure of Tb6Al2Au.

Geometry as POSCAR:
```
Tb6Al2Au
1.0
5.0044 0.0000 -0.1927
0.0000 7.1611 0.0000
-2.2101 -3.5805 7.6270
Tb Au Al
6 1 2
Cartesian
0.0958 5.3988 2.4790 Tb
2.6985 -1.8182 4.9553 Tb
2.5022 5.4087 -0.0963 Tb
2.6985 1.8182 4.9553 Tb
0.0958 1.7623 2.4790 Tb
2.5022 1.7523 -0.0963 Tb
0.0000 0.0000 0.0000 Au
0.1947 0.0000 5.0197 Al
2.5996 3.5805 2.4146 Al
```

Output
Spin magnetization in Bohr magnetons per cell: 0.0
N(E_F) in states/eV per cell: 10.43
Space group: Immm (71)
Energy of formation from the pure elements in eV/atom: -0.170

***

(14)
DFT (PBE) results for a relaxed structure of Ca2AlCu.

Geometry as POSCAR:
```
Ca2AlCu
1.0
-7.4616 2.7805 1.6735
-3.2452 -6.4305 -3.7849
-5.3418 -3.4671 1.7243
Cu Al Ca
2 2 4
Cartesian
0.0000 0.0000 0.0000 Cu
-9.0784 -1.2558 1.1711 Cu
-5.3534 -1.8250 -1.0557 Al
-6.9702 -5.8613 -1.5581 Al
-4.0399 -4.6338 -1.7828 Ca
-13.4863 -6.0151 -0.6843 Ca
-6.6611 0.1628 1.0614 Ca
-7.9098 -3.7480 0.6316 Ca
```

Output
Spin magnetization in Bohr magnetons per cell: 0.0
N(E_F) in states/eV per cell: 5.31
Space group: I-42d (122)
Energy of formation from the pure elements in eV/atom: 0.208

***

(15)
DFT (PBE) results for a relaxed structure of AcTb2Al6.

Geometry as POSCAR:
```
AcTb2Al6
1.0
3.8020 0.0000 0.0000
0.0000 6.9004 -3.9839
0.0000 0.0000 7.9679
Al Tb Ac
6 2 1
Cartesian
1.9010 4.5646 5.3325 Al
1.9010 0.0000 5.2708 Al
1.9010 2.3357 1.3485 Al
1.9010 4.5646 2.6354 Al
1.9010 0.0000 2.6971 Al
1.9010 2.3357 -1.3485 Al
3.8020 4.6003 0.0000 Tb
0.0000 2.3001 3.9839 Tb
0.0000 0.0000 7.9679 Ac
```

Output
Spin magnetization in Bohr magnetons per cell: 0.0
N(E_F) in states/eV per cell: 5.23
Space group: P6/mmm (191)
Energy of formation from the pure elements in eV/atom: -0.399

***

(16)
DFT (PBE) results for a relaxed structure of La2SnCl.

Geometry as POSCAR:
```
La2SnCl
1.0
-1.7382 2.0171 3.5476
-2.0695 -2.3851 3.1152
5.3966 -0.9939 5.9822
La Cl Sn
2 1 1
Cartesian
3.8082 -0.7863 5.0860 La
0.2814 -0.3253 3.0959 La
0.8618 -0.6897 6.3605 Cl
2.8287 -1.2353 10.4075 Sn
```

Output
Spin magnetization in Bohr magnetons per cell: 0.0
N(E_F) in states/eV per cell: 3.29
Energy relative to the elements, uncorrected in meV per atom: -1099.0
Space group: R3m (160)

***

(17)
DFT (PBE) results for a relaxed structure of BHPb3.

Geometry as POSCAR:
```
BHPb3
1.0
4.8302 0.0000 0.0000
0.0000 4.8302 0.0000
0.0000 0.0000 4.8302
Pb H B
3 1 1
Cartesian
2.4151 0.0000 0.0000 Pb
0.0000 0.0000 2.4151 Pb
0.0000 2.4151 0.0000 Pb
0.0000 0.0000 0.0000 H
2.4151 2.4151 2.4151 B
```

Output
Spin magnetization in Bohr magnetons per cell: 0.0
N(E_F) in states/eV per cell: 1.37
Space group: Pm-3m (221)
Uncorrected energy in eV/atom: -3.241

***

(18)
DFT (PBE) results for a relaxed structure of YScSe3.

Geometry as POSCAR:
```
YScSe3
1.0
4.0106 0.0000 0.0000
0.0000 6.5743 -1.5374
0.0000 0.5389 10.2282
Se Y Sc
6 2 2
Cartesian
3.0079 5.2169 4.0652 Se
1.0026 1.8963 4.6256 Se
3.0079 6.2910 0.0355 Se
1.0026 0.8222 8.6553 Se
1.0026 3.1679 0.8722 Se
3.0079 3.9453 7.8187 Se
1.0026 5.7995 2.2831 Y
3.0079 1.3137 6.4077 Y
1.0026 5.3439 8.9177 Sc
3.0079 1.7693 -0.2269 Sc
```

Output
Spin magnetization in Bohr magnetons per cell: 0.0
Energy relative to the elements, uncorrected in meV per atom: -1754.7
Space group: P2_1/m (11)

***

(19)
DFT (PBE) results for a relaxed structure of ThScTe2.

Geometry as POSCAR:
```
ThScTe2
1.0
-2.2422 -0.0783 3.0757
0.5123 -5.2351 0.2402
4.2245 0.5554 3.0938
Th Te Sc
1 2 1
Cartesian
1.2474 -2.3790 3.2049 Th
0.2562 -2.6176 0.1201 Te
2.1123 0.2777 1.5469 Te
-1.1211 -0.0392 1.5379 Sc
```

Output
Spin magnetization in Bohr magnetons per cell: 0.0
N(E_F) in states/eV per cell: 3.58
Energy relative to the elements, uncorrected in meV per atom: -1018.0
Space group: P4/mmm (123)

***

(20)
DFT (PBE) results for a relaxed structure of Ca2MgHgTe.

Geometry as POSCAR:
```
Ca2MgHgTe
1.0
-0.8804 1.8282 5.4558
3.2060 -4.6724 2.0830
4.8531 3.2010 -0.2895
Hg Mg Ca Te
1 1 2 1
Cartesian
1.6030 -2.3362 1.0415 Hg
3.5894 0.1784 3.6246 Mg
-0.4402 0.9141 2.7279 Ca
2.4266 1.6005 -0.1448 Ca
0.0000 0.0000 0.0000 Te
```

Output
Spin magnetization in Bohr magnetons per cell: 0.0
N(E_F) in states/eV per cell: 3.49
Energy relative to the elements, uncorrected in meV per atom: -123.6
Space group: P4/mmm (123)